1.
DFT (GGA-PBE) results for a relaxed structure of La2FePdC.

Cell lengths 5.304, 5.304, 3.670 Å; angles 90.00, 90.00, 90.00 degrees
Positions (direct):
C  0.000  0.000  0.000
Fe  0.000  0.000  0.500
Pd  0.500  0.500  0.500
La  0.000  0.500  0.000
La  0.500  0.000  0.000

Summary:
DOS(E_F), states/eV per atom: 0.761
Raw total energy, eV per atom: -6.890
Magnetization, μB/cell: 0.3
Space group: P4/mmm


2.
DFT (GGA-PBE) results for a relaxed structure of HoCdRh2.

Cell lengths 3.362, 3.362, 6.441 Å; angles 90.00, 90.00, 90.00 degrees
Positions (direct):
Rh  0.000  0.000  0.744
Rh  0.000  0.000  0.256
Ho  0.500  0.500  0.000
Cd  0.500  0.500  0.500

Summary:
DOS(E_F), states/eV per atom: 0.447
Raw total energy, eV per atom: -5.598
Magnetization, μB/cell: 0.0
Space group: P4/mmm


3.
DFT (GGA-PBE) results for a relaxed structure of TcTe2Pt.

Cell lengths 9.013, 9.013, 9.013 Å; angles 21.84, 21.84, 21.84 degrees
Positions (direct):
Te  0.903  0.903  0.903
Te  0.097  0.097  0.097
Tc  0.500  0.500  0.500
Pt  0.000  0.000  0.000

Summary:
Distance to the lowest polymorph of the same formula, meV per atom: 387
DOS(E_F), states/eV per atom: 1.583
Magnetization, μB/cell: 0.0
Space group: R-3m


4.
DFT (GGA-PBE) results for a relaxed structure of CdAsPb4.

Cell lengths 6.427, 6.427, 6.427 Å; angles 60.00, 60.00, 60.00 degrees
Positions (direct):
Cd  0.000  0.000  0.000
As  0.750  0.750  0.750
Pb  0.875  0.375  0.375
Pb  0.375  0.375  0.875
Pb  0.375  0.875  0.375
Pb  0.375  0.375  0.375

Summary:
DOS(E_F), states/eV per atom: 0.785
Raw total energy, eV per atom: -3.007
Magnetization, μB/cell: 0.0
Space group: F-43m


5.
DFT (GGA-PBE) results for a relaxed structure of Er5Hg4Pb.

Cell lengths 3.707, 3.707, 18.670 Å; angles 90.00, 90.00, 90.00 degrees
Positions (direct):
Er  0.500  0.500  0.109
Er  0.500  0.500  0.304
Er  0.500  0.500  0.500
Er  0.500  0.500  0.696
Er  0.500  0.500  0.891
Hg  0.000  0.000  0.208
Hg  0.000  0.000  0.400
Hg  0.000  0.000  0.600
Hg  0.000  0.000  0.792
Pb  0.000  0.000  0.000

Summary:
DOS(E_F), states/eV per atom: 0.728
Raw total energy, eV per atom: -3.234
Magnetization, μB/cell: 0.0
Space group: P4/mmm


6.
DFT (GGA-PBE) results for a relaxed structure of PuAgHg.

Cell lengths 3.087, 5.056, 5.056 Å; angles 120.00, 90.00, 90.00 degrees
Positions (direct):
Hg  0.166  0.000  0.000
Ag  0.167  0.333  0.667
Pu  0.667  0.667  0.333

Summary:
Distance to the lowest polymorph of the same formula, meV per atom: 0
DOS(E_F), states/eV per atom: 2.857
Magnetization, μB/cell: 5.8
Space group: P-6m2